The following is a DFT calculation (PBE-GGA) of an optimized crystal structure of Pr6NiIr2Br3.

It has space group C2/m (No. 12), with a = 7.215 Å, b = 12.496 Å, c = 8.213 Å, α = 90.00°, β = 107.04° and γ = 90.00°. The asymmetric unit holds Pr at (0.231, 0.166, 0.195), Pr at (0.233, 0.500, 0.195), Ni at (0.000, 0.000, 0.000), Ir at (0.000, 0.333, 0.000), Br at (0.000, 0.166, 0.500) and Br at (0.000, 0.500, 0.500).

Its uncorrected formation energy is -96 kJ per mole of atoms.